# Cu2HgOs, optimized geometry, DFT PBE
data_Cu2HgOs
_chemical_formula_sum 'Cu8 Hg4 Os4'
_symmetry_space_group_name_H-M 'F -4 3 m'
_symmetry_Int_Tables_number 216
_symmetry_space_group_name_Hall 'F -4 2 3'
_cell_length_a 6.2411
_cell_length_b 6.2411
_cell_length_c 6.2411
_cell_angle_alpha 90.00
_cell_angle_beta 90.00
_cell_angle_gamma 90.00
loop_
_atom_site_label
_atom_site_type_symbol
_atom_site_fract_x
_atom_site_fract_y
_atom_site_fract_z
_atom_site_occupancy
Cu1 Cu 0.0000 0.0000 0.0000 1
Cu2 Cu 0.2500 0.2500 0.2500 1
Hg1 Hg 0.2500 0.2500 0.7500 1
Os1 Os 0.0000 0.0000 0.5000 1
# * DFT formation energy: 0.75 eV/atom
# * calculated total energy: -4.18 eV per atom

---

# CuHgOs4, optimized geometry, DFT PBE
data_CuHgOs4
_chemical_formula_sum 'Cu4 Hg4 Os16'
_symmetry_space_group_name_H-M 'F -4 3 m'
_symmetry_Int_Tables_number 216
_symmetry_space_group_name_Hall 'F -4 2 3'
_cell_length_a 7.3565
_cell_length_b 7.3565
_cell_length_c 7.3565
_cell_angle_alpha 90.00
_cell_angle_beta 90.00
_cell_angle_gamma 90.00
loop_
_atom_site_label
_atom_site_type_symbol
_atom_site_fract_x
_atom_site_fract_y
_atom_site_fract_z
_atom_site_occupancy
Cu1 Cu 0.0000 0.0000 0.0000 1
Hg1 Hg 0.2500 0.2500 0.7500 1
Os1 Os 0.1253 0.1253 0.3747 1
# * DFT formation energy: 1.01 eV/atom
# * calculated total energy: -7.21 eV per atom

---

# Cu2HgOs, optimized geometry, DFT PBE
data_Cu2HgOs
_chemical_formula_sum 'Cu8 Hg4 Os4'
_symmetry_space_group_name_H-M 'I -4 2 d'
_symmetry_Int_Tables_number 122
_symmetry_space_group_name_Hall 'I -4 2bw'
_cell_length_a 3.8654
_cell_length_b 3.8654
_cell_length_c 17.9402
_cell_angle_alpha 90.00
_cell_angle_beta 90.00
_cell_angle_gamma 90.00
loop_
_atom_site_label
_atom_site_type_symbol
_atom_site_fract_x
_atom_site_fract_y
_atom_site_fract_z
_atom_site_occupancy
Cu1 Cu 0.2105 0.2500 0.1250 1
Hg1 Hg 0.0000 0.0000 0.5000 1
Os1 Os 0.0000 0.0000 0.0000 1
# * DFT formation energy: 0.94 eV/atom
# * calculated total energy: -3.99 eV per atom

---

# TaCuHg2Os, optimized geometry, DFT PBE
data_TaCuHg2Os
_chemical_formula_sum 'Ta1 Cu1 Hg2 Os1'
_symmetry_space_group_name_H-M 'P 4/m m m'
_symmetry_Int_Tables_number 123
_symmetry_space_group_name_Hall '-P 4 2'
_cell_length_a 5.0774
_cell_length_b 5.0774
_cell_length_c 4.5325
_cell_angle_alpha 90.00
_cell_angle_beta 90.00
_cell_angle_gamma 90.00
loop_
_atom_site_label
_atom_site_type_symbol
_atom_site_fract_x
_atom_site_fract_y
_atom_site_fract_z
_atom_site_occupancy
Ta1 Ta 0.0000 0.0000 0.0000 1
Cu1 Cu 0.5000 0.5000 0.0000 1
Hg1 Hg 0.0000 0.5000 0.5000 1
Os1 Os 0.5000 0.5000 0.5000 1
# * DFT formation energy: 1.85 eV/atom
# * calculated total energy: -3.70 eV per atom

---

# Th2CuHgOs, optimized geometry, DFT PBE
data_Th2CuHgOs
_chemical_formula_sum 'Th4 Cu2 Hg2 Os2'
_symmetry_space_group_name_H-M 'P 1 21/m 1'
_symmetry_Int_Tables_number 11
_cell_length_a 7.2236
_cell_length_b 4.3328
_cell_length_c 7.9673
_cell_angle_alpha 90.00
_cell_angle_beta 105.38
_cell_angle_gamma 90.00
loop_
_symmetry_equiv_pos_as_xyz
'x,y,z'
'-x,-y,-z'
'-x,y+1/2,-z'
'x,-y+1/2,z'
loop_
_atom_site_label
_atom_site_type_symbol
_atom_site_fract_x
_atom_site_fract_y
_atom_site_fract_z
_atom_site_occupancy
Th1 Th 0.1385 0.2500 0.3359 1
Th2 Th 0.2806 0.2500 0.9393 1
Cu1 Cu 0.4498 0.7500 0.3342 1
Hg1 Hg 0.3238 0.7500 0.6465 1
Os1 Os 0.1374 0.7500 0.0953 1
# * DFT formation energy: -0.22 eV/atom
# * calculated total energy: -6.31 eV per atom

---

# Tm4Cu2HgOs, optimized geometry, DFT PBE
data_Tm4Cu2HgOs
_chemical_formula_sum 'Tm12 Cu6 Hg3 Os3'
_symmetry_space_group_name_H-M 'R -3 m'
_symmetry_Int_Tables_number 166
_symmetry_space_group_name_Hall '-R 3 2"'
_cell_length_a 4.9154
_cell_length_b 4.9154
_cell_length_c 24.0812
_cell_angle_alpha 90.00
_cell_angle_beta 90.00
_cell_angle_gamma 120.00
loop_
_atom_site_label
_atom_site_type_symbol
_atom_site_fract_x
_atom_site_fract_y
_atom_site_fract_z
_atom_site_occupancy
Tm1 Tm 0.0000 0.0000 0.1175 1
Tm2 Tm 0.0000 0.0000 0.3688 1
Cu1 Cu 0.0000 0.0000 0.2483 1
Hg1 Hg 0.0000 0.0000 0.5000 1
Os1 Os 0.0000 0.0000 0.0000 1
# * DFT formation energy: -0.36 eV/atom
# * calculated total energy: -5.06 eV per atom

---

# Zn2CuHgOs, optimized geometry, DFT PBE
data_Zn2CuHgOs
_chemical_formula_sum 'Zn2 Cu1 Hg1 Os1'
_symmetry_space_group_name_H-M 'P 4/m m m'
_symmetry_Int_Tables_number 123
_symmetry_space_group_name_Hall '-P 4 2'
_cell_length_a 4.8736
_cell_length_b 4.8736
_cell_length_c 4.6966
_cell_angle_alpha 90.00
_cell_angle_beta 90.00
_cell_angle_gamma 90.00
loop_
_atom_site_label
_atom_site_type_symbol
_atom_site_fract_x
_atom_site_fract_y
_atom_site_fract_z
_atom_site_occupancy
Zn1 Zn 0.0000 0.5000 0.0000 1
Cu1 Cu 0.0000 0.0000 0.5000 1
Hg1 Hg 0.5000 0.5000 0.5000 1
Os1 Os 0.0000 0.0000 0.0000 1
# * DFT formation energy: 0.88 eV/atom
# * offset from the most stable computed form: 0 meV per atom
# * calculated total energy: -2.75 eV per atom

---

# Zn2CuHgOs, optimized geometry, DFT PBE
data_Zn2CuHgOs
_chemical_formula_sum 'Zn2 Cu1 Hg1 Os1'
_symmetry_space_group_name_H-M 'P 4/m m m'
_symmetry_Int_Tables_number 123
_symmetry_space_group_name_Hall '-P 4 2'
_cell_length_a 4.8076
_cell_length_b 4.8076
_cell_length_c 5.2265
_cell_angle_alpha 90.00
_cell_angle_beta 90.00
_cell_angle_gamma 90.00
loop_
_atom_site_label
_atom_site_type_symbol
_atom_site_fract_x
_atom_site_fract_y
_atom_site_fract_z
_atom_site_occupancy
Zn1 Zn 0.0000 0.5000 0.0000 1
Cu1 Cu 0.0000 0.0000 0.5000 1
Hg1 Hg 0.5000 0.5000 0.0000 1
Os1 Os 0.5000 0.5000 0.5000 1
# * DFT formation energy: 1.64 eV/atom
# * offset from the most stable computed form: 758 meV per atom
# * calculated total energy: -2.00 eV per atom